Entry 1:
Computed, not measured: a PBEsol-optimized structure of ErMg3 at the SCAN level of DFT.

abc: 6.5803 6.5803 5.1268
angles: 90.00 90.00 120.00
Space group P6_3/mmc (No. 194)
Unique sites:
Er (0.3333, 0.6667, 0.2500) x2
Mg (0.1642, 0.3285, 0.7500) x6

Results
The value obtained for the density of states at the Fermi level is 6.344 states/eV per cell. Its energy of formation from the pure elements is -0.2 eV/f.u.

---

Entry 2:
Computed, not measured: a PBEsol-optimized structure of MgHgCl at the SCAN level of DFT.

abc: 6.9340 6.9340 6.9340
angles: 90.00 90.00 90.00
Space group F-43m (No. 216)
Unique sites:
Mg (0.0000, 0.0000, 0.0000) x4
Hg (0.2500, 0.2500, 0.7500) x4
Cl (0.0000, 0.0000, 0.5000) x4

Results
The value obtained for the density of states at the Fermi level is 7.592 states/eV per cell. The formation energy without anion corrections comes out at -0.73 eV per formula unit.

---

Entry 3:
Computed, not measured: a PBEsol-optimized structure of BaSrSc2Hg at the SCAN level of DFT.

abc: 5.4387 5.4387 5.9702
angles: 90.00 90.00 90.00
Space group P4/mmm (No. 123)
Unique sites:
Ba (0.0000, 0.0000, 0.0000) x1
Sr (0.5000, 0.5000, 0.5000) x1
Sc (0.0000, 0.5000, 0.0000) x2
Hg (0.0000, 0.0000, 0.5000) x1

Results
The value obtained for the density of states at the Fermi level is 5.300 states/eV per cell. Its energy of formation from the pure elements is 3.9 eV/f.u.